Entry 1:
# La2Zn2Pd5Rh (PBE-GGA, relaxed)
# - Fermi-level density of states: 6.2 states/eV/f.u.
# - Calculated formation energy: -5.339 eV/f.u.
# - Total moment: 0.00 Bohr magnetons per cell
# - Volume: 369.6 Å³ per cell
# - Final energy: -5.106 eV per atom
data_La2Zn2Pd5Rh
_space_group_name_H-M_alt 'P 4/m b m'
_space_group_IT_number 127
_space_group_name_Hall '-P 4 2ab'
_cell_length_a 9.691
_cell_length_b 9.691
_cell_length_c 3.936
_cell_angle_alpha 90.00
_cell_angle_beta 90.00
_cell_angle_gamma 90.00
loop_
_atom_site_label
_atom_site_fract_x
_atom_site_fract_y
_atom_site_fract_z
_atom_site_occupancy
La1 0.185 0.315 0.000 1
Zn1 0.113 0.613 0.000 1
Pd1 0.000 0.500 0.500 1
Pd2 0.063 0.794 0.500 1
Rh1 0.000 0.000 0.000 1

=====

Entry 2:
# Sr2DyAs3Pt12 (PBE-GGA, relaxed)
# - Fermi-level density of states: 8.5 states/eV/f.u.
# - Calculated formation energy: -4.020 eV/f.u.
# - Total moment: 0.00 Bohr magnetons per cell
# - Volume: 1168.6 Å³ per cell
# - Final energy: -5.468 eV per atom
data_Sr2DyAs3Pt12
_space_group_name_H-M_alt 'R -3 m'
_space_group_IT_number 166
_space_group_name_Hall '-R 3 2"'
_cell_length_a 8.5357
_cell_length_b 8.5357
_cell_length_c 18.5216
_cell_angle_alpha 90.00
_cell_angle_beta 90.00
_cell_angle_gamma 120.00
loop_
_atom_site_label
_atom_site_fract_x
_atom_site_fract_y
_atom_site_fract_z
_atom_site_occupancy
Sr1 0.0000 0.0000 0.1016 1
Dy1 0.0000 0.0000 0.5000 1
As1 0.0000 0.5000 0.0000 1
Pt1 0.0189 0.5094 0.8702 1
Pt2 0.0326 0.5163 0.3651 1